The following is a DFT calculation (PBE) of an optimized crystal structure of AlAs.

a = 4.7673 Å, b = 4.7673 Å, c = 8.1098 Å
α = 90.00°, β = 90.00°, γ = 120.00°
Space group P6_3/mmc (No. 194)
Unique sites:
Al1 0.3333 0.6667 0.0840 x4
As1 0.0000 0.0000 0.2500 x2
As2 0.3333 0.6667 0.7500 x2

- Formation enthalpy at 0 K: 29.5 kJ per mole of atoms